# 1
Compound: KEuP
Source: Alexandria via LeMat-Bulk
Functional: GGA-PBE
Structure: relaxed

## Properties
space-group type: I4mm
formation enthalpy at 0 K: -0.51 eV per atom

a = 4.084 Å, b = 4.084 Å, c = 12.818 Å
α = 90.00°, β = 90.00°, γ = 90.00°
Fractional coordinates of all 6 atoms:
K  0.000  0.000  0.000
K  0.500  0.500  0.500
Eu  0.000  0.000  0.261
Eu  0.500  0.500  0.761
P  0.000  0.000  0.725
P  0.500  0.500  0.225

=====

# 2
Compound: K4EuP2S8
Source: Alexandria via LeMat-Bulk
Functional: GGA-PBE
Structure: relaxed

## Properties
DFT total energy: -4.97 eV per atom
space-group type: Ibam

a = 11.398 Å, b = 11.398 Å, c = 11.398 Å
α = 134.06°, β = 71.00°, γ = 129.06°
Fractional coordinates of all 30 atoms:
K  0.012  0.250  0.762
K  0.083  0.622  0.705
K  0.417  0.122  0.539
K  0.488  0.250  0.238
K  0.512  0.750  0.762
K  0.583  0.878  0.461
K  0.917  0.378  0.295
K  0.988  0.750  0.238
Eu  0.250  0.250  0.000
Eu  0.750  0.750  0.000
P  0.126  0.204  0.330
P  0.374  0.704  0.078
P  0.626  0.296  0.922
P  0.874  0.796  0.670
S  0.092  0.876  0.629
S  0.104  0.975  0.080
S  0.234  0.247  0.481
S  0.247  0.463  0.371
S  0.253  0.624  0.216
S  0.266  0.747  0.013
S  0.396  0.475  0.871
S  0.408  0.037  0.784
S  0.592  0.963  0.216
S  0.604  0.525  0.129
S  0.734  0.253  0.987
S  0.747  0.376  0.784
S  0.753  0.537  0.629
S  0.766  0.753  0.519
S  0.896  0.025  0.920
S  0.908  0.124  0.371

=====

# 3
Compound: K4EuP2Se8
Source: Alexandria via LeMat-Bulk
Functional: GGA-PBE
Structure: relaxed

## Properties
DFT total energy: -4.49 eV per atom
space-group type: Ibam

a = 11.903 Å, b = 11.903 Å, c = 11.903 Å
α = 134.12°, β = 71.27°, γ = 128.68°
Fractional coordinates of all 30 atoms:
K  0.016  0.250  0.766
K  0.085  0.612  0.698
K  0.415  0.112  0.527
K  0.484  0.250  0.234
K  0.516  0.750  0.766
K  0.585  0.888  0.473
K  0.915  0.388  0.302
K  0.984  0.750  0.234
Eu  0.250  0.250  0.000
Eu  0.750  0.750  0.000
P  0.127  0.205  0.331
P  0.373  0.705  0.078
P  0.627  0.295  0.922
P  0.873  0.795  0.669
Se  0.101  0.880  0.631
Se  0.104  0.967  0.071
Se  0.239  0.256  0.495
Se  0.248  0.469  0.369
Se  0.252  0.620  0.221
Se  0.261  0.756  0.018
Se  0.396  0.467  0.863
Se  0.399  0.031  0.779
Se  0.601  0.969  0.221
Se  0.604  0.533  0.137
Se  0.739  0.244  0.982
Se  0.748  0.380  0.779
Se  0.752  0.531  0.631
Se  0.761  0.744  0.505
Se  0.896  0.033  0.929
Se  0.899  0.120  0.369

=====

# 4
Compound: KEuPb2
Source: Alexandria via LeMat-Bulk
Functional: GGA-PBE
Structure: relaxed

## Properties
space-group type: P4/mmm
formation enthalpy at 0 K: -0.31 eV per atom
E above lowest polymorph: 0 meV per atom

a = 4.151 Å, b = 4.151 Å, c = 8.331 Å
α = 90.00°, β = 90.00°, γ = 90.00°
Fractional coordinates of all 4 atoms:
K  0.000  0.000  0.000
Eu  0.000  0.000  0.500
Pb  0.500  0.500  0.289
Pb  0.500  0.500  0.711

=====

# 5
Compound: KEuPb2
Source: Alexandria via LeMat-Bulk
Functional: GGA-PBE
Structure: relaxed

## Properties
space-group type: R-3m
formation enthalpy at 0 K: -0.17 eV per atom
E above lowest polymorph: 134 meV per atom

a = 3.827 Å, b = 3.827 Å, c = 33.628 Å
α = 90.00°, β = 90.00°, γ = 120.00°
Fractional coordinates of all 12 atoms:
K  0.000  0.000  0.000
K  0.333  0.667  0.667
K  0.667  0.333  0.333
Eu  0.000  0.000  0.500
Eu  0.333  0.667  0.167
Eu  0.667  0.333  0.833
Pb  0.000  0.000  0.246
Pb  0.000  0.000  0.754
Pb  0.333  0.667  0.421
Pb  0.333  0.667  0.912
Pb  0.667  0.333  0.088
Pb  0.667  0.333  0.579

=====

# 6
Compound: KEuPb2
Source: Alexandria via LeMat-Bulk
Functional: GGA-PBE
Structure: relaxed

## Properties
space-group type: Fm-3m
formation enthalpy at 0 K: -0.25 eV per atom
E above lowest polymorph: 59 meV per atom

a = 8.175 Å, b = 8.175 Å, c = 8.175 Å
α = 90.00°, β = 90.00°, γ = 90.00°
Fractional coordinates of all 16 atoms:
K  0.000  0.000  0.000
K  0.000  0.500  0.500
K  0.500  0.000  0.500
K  0.500  0.500  0.000
Eu  0.000  0.000  0.500
Eu  0.000  0.500  0.000
Eu  0.500  0.000  0.000
Eu  0.500  0.500  0.500
Pb  0.250  0.250  0.250
Pb  0.250  0.250  0.750
Pb  0.250  0.750  0.250
Pb  0.250  0.750  0.750
Pb  0.750  0.250  0.250
Pb  0.750  0.250  0.750
Pb  0.750  0.750  0.250
Pb  0.750  0.750  0.750

=====

# 7
Compound: KEuPb4
Source: Alexandria via LeMat-Bulk
Functional: GGA-PBE
Structure: relaxed

## Properties
space-group type: F-43m
formation enthalpy at 0 K: -0.22 eV per atom

a = 6.651 Å, b = 6.651 Å, c = 6.651 Å
α = 60.00°, β = 60.00°, γ = 60.00°
Fractional coordinates of all 6 atoms:
K  0.000  0.000  0.000
Eu  0.750  0.750  0.750
Pb  0.376  0.376  0.376
Pb  0.376  0.376  0.872
Pb  0.376  0.872  0.376
Pb  0.872  0.376  0.376

=====

# 8
Compound: KEuPb2
Source: Alexandria via LeMat-Bulk
Functional: GGA-PBE
Structure: relaxed

## Properties
space-group type: P4/mmm
formation enthalpy at 0 K: -0.25 eV per atom
E above lowest polymorph: 59 meV per atom

a = 5.162 Å, b = 5.162 Å, c = 4.958 Å
α = 90.00°, β = 90.00°, γ = 90.00°
Fractional coordinates of all 4 atoms:
K  0.000  0.000  0.000
Eu  0.500  0.500  0.000
Pb  0.000  0.500  0.500
Pb  0.500  0.000  0.500

=====

# 9
Compound: KEuSnPb
Source: Alexandria via LeMat-Bulk
Functional: GGA-PBE
Structure: relaxed

## Properties
space-group type: F-43m
formation enthalpy at 0 K: -0.26 eV per atom

a = 8.098 Å, b = 8.098 Å, c = 8.098 Å
α = 90.00°, β = 90.00°, γ = 90.00°
Fractional coordinates of all 16 atoms:
K  0.000  0.000  0.000
K  0.000  0.500  0.500
K  0.500  0.000  0.500
K  0.500  0.500  0.000
Eu  0.000  0.000  0.500
Eu  0.000  0.500  0.000
Eu  0.500  0.000  0.000
Eu  0.500  0.500  0.500
Sn  0.250  0.250  0.750
Sn  0.250  0.750  0.250
Sn  0.750  0.250  0.250
Sn  0.750  0.750  0.750
Pb  0.250  0.250  0.250
Pb  0.250  0.750  0.750
Pb  0.750  0.250  0.750
Pb  0.750  0.750  0.250

=====

# 10
Compound: KEuTlPb
Source: Alexandria via LeMat-Bulk
Functional: GGA-PBE
Structure: relaxed

## Properties
space-group type: F-43m
formation enthalpy at 0 K: -0.25 eV per atom

a = 8.162 Å, b = 8.162 Å, c = 8.162 Å
α = 90.00°, β = 90.00°, γ = 90.00°
Fractional coordinates of all 16 atoms:
K  0.000  0.000  0.000
K  0.000  0.500  0.500
K  0.500  0.000  0.500
K  0.500  0.500  0.000
Eu  0.000  0.000  0.500
Eu  0.000  0.500  0.000
Eu  0.500  0.000  0.000
Eu  0.500  0.500  0.500
Tl  0.250  0.250  0.750
Tl  0.250  0.750  0.250
Tl  0.750  0.250  0.250
Tl  0.750  0.750  0.750
Pb  0.250  0.250  0.250
Pb  0.250  0.750  0.750
Pb  0.750  0.250  0.750
Pb  0.750  0.750  0.250

=====

# 11
Compound: KEu3Pd
Source: Alexandria via LeMat-Bulk
Functional: GGA-PBE
Structure: relaxed

## Properties
space-group type: Pm-3m
formation enthalpy at 0 K: -0.20 eV per atom

a = 5.968 Å, b = 5.968 Å, c = 5.968 Å
α = 90.00°, β = 90.00°, γ = 90.00°
Fractional coordinates of all 5 atoms:
K  0.000  0.000  0.000
Eu  0.000  0.500  0.500
Eu  0.500  0.000  0.500
Eu  0.500  0.500  0.000
Pd  0.500  0.500  0.500

=====

# 12
Compound: KEu2Pd
Source: Alexandria via LeMat-Bulk
Functional: GGA-PBE
Structure: relaxed

## Properties
space-group type: P4/mmm
formation enthalpy at 0 K: -0.26 eV per atom

a = 3.753 Å, b = 3.753 Å, c = 10.776 Å
α = 90.00°, β = 90.00°, γ = 90.00°
Fractional coordinates of all 4 atoms:
K  0.000  0.000  0.000
Eu  0.500  0.500  0.341
Eu  0.500  0.500  0.659
Pd  0.000  0.000  0.500

=====

# 13
Compound: KEu2Pd
Source: Alexandria via LeMat-Bulk
Functional: GGA-PBE
Structure: relaxed

## Properties
space-group type: R-3m
formation enthalpy at 0 K: -0.26 eV per atom

a = 4.257 Å, b = 4.257 Å, c = 34.482 Å
α = 90.00°, β = 90.00°, γ = 120.00°
Fractional coordinates of all 12 atoms:
K  0.000  0.000  0.000
K  0.333  0.667  0.667
K  0.667  0.333  0.333
Eu  0.000  0.000  0.119
Eu  0.000  0.000  0.881
Eu  0.333  0.667  0.547
Eu  0.333  0.667  0.786
Eu  0.667  0.333  0.214
Eu  0.667  0.333  0.453
Pd  0.000  0.000  0.500
Pd  0.333  0.667  0.167
Pd  0.667  0.333  0.833

=====

# 14
Compound: KPmEu2
Source: Alexandria via LeMat-Bulk
Functional: GGA-PBE
Structure: relaxed

## Properties
space-group type: P4/mmm
formation enthalpy at 0 K: 0.14 eV per atom

a = 3.840 Å, b = 3.840 Å, c = 12.295 Å
α = 90.00°, β = 90.00°, γ = 90.00°
Fractional coordinates of all 4 atoms:
K  0.000  0.000  0.000
Pm  0.000  0.000  0.500
Eu  0.500  0.500  0.288
Eu  0.500  0.500  0.712

=====

# 15
Compound: KPrEu2
Source: Alexandria via LeMat-Bulk
Functional: GGA-PBE
Structure: relaxed

## Properties
space-group type: R-3m
formation enthalpy at 0 K: 0.13 eV per atom
E above lowest polymorph: 0 meV per atom

a = 3.899 Å, b = 3.899 Å, c = 41.008 Å
α = 90.00°, β = 90.00°, γ = 120.00°
Fractional coordinates of all 12 atoms:
K  0.000  0.000  0.000
K  0.333  0.667  0.667
K  0.667  0.333  0.333
Pr  0.000  0.000  0.500
Pr  0.333  0.667  0.167
Pr  0.667  0.333  0.833
Eu  0.000  0.000  0.241
Eu  0.000  0.000  0.759
Eu  0.333  0.667  0.425
Eu  0.333  0.667  0.908
Eu  0.667  0.333  0.092
Eu  0.667  0.333  0.575

=====

# 16
Compound: KPrEu2
Source: Alexandria via LeMat-Bulk
Functional: GGA-PBE
Structure: relaxed

## Properties
space-group type: P4/mmm
formation enthalpy at 0 K: 0.13 eV per atom
E above lowest polymorph: 4 meV per atom

a = 3.855 Å, b = 3.855 Å, c = 12.375 Å
α = 90.00°, β = 90.00°, γ = 90.00°
Fractional coordinates of all 4 atoms:
K  0.000  0.000  0.000
Pr  0.000  0.000  0.500
Eu  0.500  0.500  0.286
Eu  0.500  0.500  0.714

=====

# 17
Compound: KEu3Pt
Source: Alexandria via LeMat-Bulk
Functional: GGA-PBE
Structure: relaxed

## Properties
space-group type: Pm-3m
formation enthalpy at 0 K: -0.38 eV per atom

a = 5.919 Å, b = 5.919 Å, c = 5.919 Å
α = 90.00°, β = 90.00°, γ = 90.00°
Fractional coordinates of all 5 atoms:
K  0.000  0.000  0.000
Eu  0.000  0.500  0.500
Eu  0.500  0.000  0.500
Eu  0.500  0.500  0.000
Pt  0.500  0.500  0.500

=====

# 18
Compound: KEuPt4
Source: Alexandria via LeMat-Bulk
Functional: GGA-PBE
Structure: relaxed

## Properties
space-group type: F-43m
formation enthalpy at 0 K: -0.61 eV per atom

a = 5.520 Å, b = 5.520 Å, c = 5.520 Å
α = 60.00°, β = 60.00°, γ = 60.00°
Fractional coordinates of all 6 atoms:
K  0.000  0.000  0.000
Eu  0.750  0.750  0.750
Pt  0.375  0.375  0.375
Pt  0.375  0.375  0.875
Pt  0.375  0.875  0.375
Pt  0.875  0.375  0.375

=====

# 19
Compound: K4RbEu
Source: Alexandria via LeMat-Bulk
Functional: GGA-PBE
Structure: relaxed

## Properties
space-group type: F-43m
formation enthalpy at 0 K: 0.15 eV per atom

a = 8.424 Å, b = 8.424 Å, c = 8.424 Å
α = 60.00°, β = 60.00°, γ = 60.00°
Fractional coordinates of all 6 atoms:
K  0.376  0.376  0.376
K  0.376  0.376  0.873
K  0.376  0.873  0.376
K  0.873  0.376  0.376
Rb  0.000  0.000  0.000
Eu  0.750  0.750  0.750

=====

# 20
Compound: KRb2Eu
Source: Alexandria via LeMat-Bulk
Functional: GGA-PBE
Structure: relaxed

## Properties
space-group type: R-3m
formation enthalpy at 0 K: 0.20 eV per atom
E above lowest polymorph: 48 meV per atom

a = 4.430 Å, b = 4.430 Å, c = 50.104 Å
α = 90.00°, β = 90.00°, γ = 120.00°
Fractional coordinates of all 12 atoms:
K  0.000  0.000  0.000
K  0.333  0.667  0.667
K  0.667  0.333  0.333
Rb  0.000  0.000  0.416
Rb  0.000  0.000  0.584
Rb  0.333  0.667  0.083
Rb  0.333  0.667  0.251
Rb  0.667  0.333  0.749
Rb  0.667  0.333  0.917
Eu  0.000  0.000  0.500
Eu  0.333  0.667  0.167
Eu  0.667  0.333  0.833